# TmBe17Ni (PBE, relaxed)
# M_tot ... 0.00 μB/cell
# Energy ... -3.940 eV per atom
data_TmBe17Ni
_cell_length_a 7.4667
_cell_length_b 7.4667
_cell_length_c 10.8750
_cell_angle_alpha 90.00
_cell_angle_beta 90.00
_cell_angle_gamma 120.00
_symmetry_space_group_name_H-M 'R 3 m'
_symmetry_Int_Tables_number 160
_symmetry_space_group_name_Hall 'R 3 -2"'
loop_
_atom_site_label
_atom_site_fract_x
_atom_site_fract_y
_atom_site_fract_z
Tm1 0.0000 0.0000 0.0000
Be1 0.0000 0.0000 0.5569
Be2 0.0000 0.0000 0.7517
Be3 0.0427 0.3676 0.3233
Be4 0.1705 0.3409 0.8348
Be5 0.1719 0.3438 0.4937
Be6 0.1766 0.3532 0.1398
Ni1 0.0000 0.0000 0.3434

=====

# TbEr2C (PBE, relaxed)
# M_tot ... 0.94 μB/cell
# Offset from the most stable computed form ... 0.000 eV/atom
# Energy ... -5.946 eV per atom
data_TbEr2C
_cell_length_a 3.5525
_cell_length_b 3.5525
_cell_length_c 26.9887
_cell_angle_alpha 90.00
_cell_angle_beta 90.00
_cell_angle_gamma 120.00
_symmetry_space_group_name_H-M 'R 3 m'
_symmetry_Int_Tables_number 160
_symmetry_space_group_name_Hall 'R 3 -2"'
loop_
_atom_site_label
_atom_site_fract_x
_atom_site_fract_y
_atom_site_fract_z
Tb1 0.0000 0.0000 0.0000
Er1 0.0000 0.0000 0.2177
Er2 0.0000 0.0000 0.4522
C1 0.0000 0.0000 0.8354

=====

# Y3PbSe (PBE, relaxed)
# M_tot ... 0.00 μB/cell
# Offset from the most stable computed form ... 0.280 eV/atom
# Energy ... -5.960 eV per atom
# Formation energy (no corrections) ... -3.22 eV/f.u.
data_Y3PbSe
_cell_length_a 5.348
_cell_length_b 5.348
_cell_length_c 5.348
_cell_angle_alpha 90.00
_cell_angle_beta 90.00
_cell_angle_gamma 90.00
_symmetry_space_group_name_H-M 'P m -3 m'
_symmetry_Int_Tables_number 221
_symmetry_space_group_name_Hall '-P 4 2 3'
loop_
_atom_site_label
_atom_site_fract_x
_atom_site_fract_y
_atom_site_fract_z
Y1 0.000 0.000 0.500
Pb1 0.500 0.500 0.500
Se1 0.000 0.000 0.000